Below is an optimized crystal structure of NiH8Cl2O4, with properties calculated at the PBE with a Hubbard U level.

Unit cell a=5.949 b=9.391 c=11.548 alpha=90.00 beta=110.65 gamma=90.00
Fractional positions:
Ni  0.248  0.172  0.259
Ni  0.248  0.328  0.759
Ni  0.752  0.672  0.241
Ni  0.752  0.828  0.741
H  0.004  0.564  0.645
H  0.004  0.936  0.145
H  0.027  0.201  0.419
H  0.027  0.299  0.919
H  0.129  0.568  0.440
H  0.129  0.932  0.940
H  0.179  0.692  0.214
H  0.179  0.808  0.714
H  0.211  0.564  0.888
H  0.211  0.936  0.388
H  0.467  0.517  0.323
H  0.467  0.983  0.823
H  0.490  0.555  0.898
H  0.490  0.945  0.398
H  0.491  0.161  0.106
H  0.491  0.339  0.606
H  0.509  0.661  0.394
H  0.509  0.839  0.894
H  0.510  0.055  0.602
H  0.510  0.445  0.102
H  0.533  0.017  0.177
H  0.533  0.483  0.677
H  0.789  0.064  0.612
H  0.789  0.436  0.112
H  0.821  0.192  0.286
H  0.821  0.308  0.786
H  0.871  0.068  0.060
H  0.871  0.432  0.560
H  0.973  0.701  0.081
H  0.973  0.799  0.581
H  0.996  0.064  0.855
H  0.996  0.436  0.355
Cl  0.141  0.136  0.610
Cl  0.141  0.364  0.110
Cl  0.480  0.682  0.577
Cl  0.480  0.818  0.077
Cl  0.520  0.182  0.923
Cl  0.520  0.318  0.423
Cl  0.859  0.636  0.890
Cl  0.859  0.864  0.390
O  0.015  0.038  0.129
O  0.015  0.462  0.629
O  0.016  0.732  0.169
O  0.016  0.768  0.669
O  0.333  0.508  0.867
O  0.333  0.992  0.367
O  0.473  0.621  0.309
O  0.473  0.879  0.809
O  0.527  0.121  0.191
O  0.527  0.379  0.691
O  0.667  0.008  0.633
O  0.667  0.492  0.133
O  0.984  0.232  0.331
O  0.984  0.268  0.831
O  0.985  0.538  0.371
O  0.985  0.962  0.871

Calculated values
As for the space-group type: P2_1/c. The total magnetization is 7.7 μB/cell. The density of states at the Fermi level is 0.000 states/eV per atom. Its final energy is -272.53 eV per cell.